# 1
Here is an optimized crystal structure of PmPrSb from Alexandria via LeMat-Bulk. Energies are from PBE.

Results
final energy	-15.03	eV for the cell shown
SG	No. 156
M_tot	0.000	μB per atom
E_form (uncorrected)	-460	meV per atom

Cell: 4.266 5.156 5.156 Å, 120.00 90.00 90.00°
Fractional positions:
Pr  0.617  0.333  0.667
Sb  0.293  0.667  0.333
Pm  0.090  0.000  0.000


# 2
Here is an optimized crystal structure of PmPr3Sb3 from Alexandria via LeMat-Bulk. Energies are from PBE.

Results
final energy	-74.07	eV for the cell shown
SG	No. 176
M_tot	0.001	μB per atom
E_form (uncorrected)	-797	meV per atom

Cell: 6.338 9.718 9.718 Å, 120.00 90.00 90.00°
Fractional positions:
Pm  0.250  0.667  0.333
Pm  0.750  0.333  0.667
Pr  0.250  0.629  0.688
Pr  0.250  0.312  0.941
Pr  0.250  0.059  0.371
Pr  0.750  0.371  0.312
Pr  0.750  0.688  0.059
Pr  0.750  0.941  0.629
Sb  0.750  0.659  0.695
Sb  0.750  0.305  0.964
Sb  0.750  0.036  0.341
Sb  0.250  0.341  0.305
Sb  0.250  0.695  0.036
Sb  0.250  0.964  0.659